(1)
{"formula": "SrRuAu4", "functional": "SCAN", "state": "PBEsol geometry", "e_form_ev_per_atom": -0.02, "final_energy_ev_per_atom": -55.64, "space_group": "F-43m, No. 216", "vol_a3_per_cell": 115.83, "cell": [[-2.8635, -3.6873, -2.8534], [2.5739, -4.1546, -2.4602], [-0.5761, -5.0934, 1.9141]], "species": ["Sr", "Ru", "Au", "Au", "Au", "Au"], "frac_coords": [[0.0000, 0.0000, 0.0000], [0.7500, 0.7500, 0.7500], [0.8732, 0.3756, 0.3756], [0.3756, 0.8732, 0.3756], [0.3756, 0.3756, 0.3756], [0.3756, 0.3756, 0.8732]]}

=====

(2)
{"formula": "MgZnSb2S", "functional": "SCAN", "state": "PBEsol geometry", "final_energy_ev_per_atom": -20.18, "raw_formation_energy_mev_per_atom": 348, "space_group": "P4/mmm, No. 123", "vol_a3_per_cell": 125.45, "cell": [[4.5317, 0.0000, 0.0000], [0.0000, 5.2614, 0.0000], [0.0000, 0.0000, 5.2614]], "species": ["Sb", "Sb", "Zn", "Mg", "S"], "frac_coords": [[0.0000, 0.5000, 0.0000], [0.0000, 0.0000, 0.5000], [0.5000, 0.0000, 0.0000], [0.5000, 0.5000, 0.5000], [0.0000, 0.0000, 0.0000]]}